1.
The following is a PBE calculation of crystalline K2YCl at its relaxed geometry, from Alexandria via LeMat-Bulk.

a b c (Å): 6.286 6.286 6.286
angles (deg): 60.00 60.00 60.00
Each line ends with the local moment (μB).
Positions (direct):
Y: 0.750 0.750 0.750  0.54
K: 0.000 0.000 0.000  0.02
K: 0.250 0.250 0.250  0.02
Cl: 0.500 0.500 0.500  0.02

Computed properties:
calculated total energy: -0.1844 Ry per atom
mass density: 1.92 Mg/m³
excess energy over the best structure of this formula in the dataset: 736 meV/atom
uncorrected formation energy: 117 meV/atom

=====

2.
The following is a PBE calculation of crystalline K2YCl at its relaxed geometry, from Alexandria via LeMat-Bulk.

a b c (Å): 3.649 3.648 11.572
angles (deg): 71.66 90.00 90.00
Each line ends with the local moment (μB).
Positions (direct):
Y: 0.500 0.250 0.250  0.21
K: 0.000 0.074 0.926  0.00
K: 0.000 0.426 0.574  0.00
Cl: 0.500 0.750 0.750  0.00

Computed properties:
calculated total energy: -0.2370 Ry per atom
mass density: 2.30 Mg/m³
excess energy over the best structure of this formula in the dataset: 20 meV/atom
uncorrected formation energy: -598 meV/atom

=====

3.
The following is a PBE calculation of crystalline KY2Cl7 at its relaxed geometry, from Alexandria via LeMat-Bulk.

a b c (Å): 5.295 8.052 8.052
angles (deg): 116.17 90.00 90.00
Positions (direct):
K: 0.000 0.000 0.000
Y: 0.500 0.697 0.303
Y: 0.500 0.303 0.697
Cl: 0.000 0.707 0.293
Cl: 0.000 0.293 0.707
Cl: 0.500 0.049 0.327
Cl: 0.500 0.951 0.673
Cl: 0.500 0.327 0.049
Cl: 0.500 0.673 0.951
Cl: 0.500 0.500 0.500

Computed properties:
calculated total energy: -0.3597 Ry per atom
mass density: 2.51 Mg/m³
excess energy over the best structure of this formula in the dataset: 42 meV/atom
uncorrected formation energy: -2199 meV/atom

=====

4.
The following is a PBE calculation of crystalline K3YCl6 at its relaxed geometry, from Alexandria via LeMat-Bulk.

a b c (Å): 7.884 12.874 13.251
angles (deg): 109.90 90.00 90.00
Positions (direct):
K: 0.547 0.733 0.695
K: 0.453 0.267 0.305
K: 0.047 0.767 0.305
K: 0.953 0.233 0.695
K: 0.957 0.628 0.886
K: 0.043 0.372 0.114
K: 0.457 0.872 0.114
K: 0.543 0.128 0.886
K: 0.079 0.888 0.671
K: 0.921 0.112 0.329
K: 0.579 0.612 0.329
K: 0.421 0.388 0.671
Y: 0.000 0.500 0.500
Y: 0.500 0.000 0.500
Y: 0.000 0.000 0.000
Y: 0.500 0.500 0.000
Cl: 0.540 0.651 0.908
Cl: 0.460 0.349 0.092
Cl: 0.040 0.849 0.092
Cl: 0.960 0.151 0.908
Cl: 0.739 0.007 0.643
Cl: 0.261 0.993 0.357
Cl: 0.239 0.493 0.357
Cl: 0.761 0.507 0.643
Cl: 0.202 0.604 0.665
Cl: 0.798 0.396 0.335
Cl: 0.702 0.896 0.335
Cl: 0.298 0.104 0.665
Cl: 0.382 0.808 0.507
Cl: 0.618 0.192 0.493
Cl: 0.882 0.692 0.493
Cl: 0.118 0.308 0.507
Cl: 0.834 0.853 0.843
Cl: 0.166 0.147 0.157
Cl: 0.334 0.647 0.157
Cl: 0.666 0.353 0.843
Cl: 0.291 0.933 0.891
Cl: 0.709 0.067 0.109
Cl: 0.791 0.567 0.109
Cl: 0.209 0.433 0.891

Computed properties:
calculated total energy: -0.3098 Ry per atom
mass density: 2.20 Mg/m³
uncorrected formation energy: -2132 meV/atom

=====

5.
The following is a PBE calculation of crystalline K2YCl at its relaxed geometry, from Alexandria via LeMat-Bulk.

a b c (Å): 11.680 11.680 11.680
angles (deg): 19.37 19.37 19.37
Each line ends with the local moment (μB).
Positions (direct):
Y: 0.250 0.250 0.250  0.38
K: 0.023 0.023 0.023  0.01
K: 0.477 0.477 0.477  0.01
Cl: 0.750 0.750 0.750  0.00

Computed properties:
calculated total energy: -0.2385 Ry per atom
mass density: 2.20 Mg/m³
excess energy over the best structure of this formula in the dataset: 0 meV/atom
uncorrected formation energy: -618 meV/atom

=====

6.
The following is a PBE calculation of crystalline K3YCl8 at its relaxed geometry, from Alexandria via LeMat-Bulk.

a b c (Å): 7.140 7.140 8.963
angles (deg): 113.47 113.47 90.00
Each line ends with the local moment (μB).
Positions (direct):
K: 0.750 0.250 0.500  0.00
K: 0.500 0.500 0.000  0.00
K: 0.250 0.750 0.500  0.00
Y: 0.000 0.000 0.000  -0.01
Cl: 0.336 0.336 0.224  0.18
Cl: 0.336 0.888 0.224  0.18
Cl: 0.112 0.664 0.776  0.18
Cl: 0.112 0.112 0.776  0.18
Cl: 0.888 0.888 0.224  0.18
Cl: 0.888 0.336 0.224  0.18
Cl: 0.664 0.112 0.776  0.18
Cl: 0.664 0.664 0.776  0.18

Computed properties:
calculated total energy: -0.2674 Ry per atom
mass density: 2.15 Mg/m³
uncorrected formation energy: -1595 meV/atom

=====

7.
The following is a PBE calculation of crystalline KY2Cl7 at its relaxed geometry, from Alexandria via LeMat-Bulk.

a b c (Å): 12.633 6.977 13.573
angles (deg): 92.51 90.00 90.00
Positions (direct):
K: 0.217 0.802 0.023
K: 0.783 0.198 0.977
K: 0.717 0.198 0.477
K: 0.283 0.802 0.523
Y: 0.536 0.781 0.241
Y: 0.464 0.219 0.759
Y: 0.036 0.219 0.259
Y: 0.964 0.781 0.741
Y: 0.840 0.718 0.245
Y: 0.160 0.282 0.755
Y: 0.340 0.282 0.255
Y: 0.660 0.718 0.745
Cl: 0.974 0.927 0.132
Cl: 0.026 0.073 0.868
Cl: 0.474 0.073 0.368
Cl: 0.526 0.927 0.632
Cl: 0.687 0.753 0.388
Cl: 0.313 0.247 0.612
Cl: 0.187 0.247 0.112
Cl: 0.813 0.753 0.888
Cl: 0.674 0.516 0.166
Cl: 0.326 0.484 0.834
Cl: 0.174 0.484 0.334
Cl: 0.826 0.516 0.666
Cl: 0.932 0.972 0.375
Cl: 0.068 0.028 0.625
Cl: 0.432 0.028 0.125
Cl: 0.568 0.972 0.875
Cl: 0.940 0.444 0.128
Cl: 0.060 0.556 0.872
Cl: 0.440 0.556 0.372
Cl: 0.560 0.444 0.628
Cl: 0.705 0.995 0.181
Cl: 0.295 0.005 0.819
Cl: 0.205 0.005 0.319
Cl: 0.795 0.995 0.681
Cl: 0.904 0.451 0.371
Cl: 0.096 0.549 0.629
Cl: 0.404 0.549 0.129
Cl: 0.596 0.451 0.871

Computed properties:
calculated total energy: -0.3628 Ry per atom
mass density: 2.58 Mg/m³
excess energy over the best structure of this formula in the dataset: 0 meV/atom
uncorrected formation energy: -2241 meV/atom

=====

8.
The following is a PBE calculation of crystalline K2YCl at its relaxed geometry, from Alexandria via LeMat-Bulk.

a b c (Å): 7.692 7.692 7.692
angles (deg): 152.77 130.94 57.02
Positions (direct):
Y: 0.750 0.250 0.500
K: 0.062 0.062 0.000
K: 0.438 0.438 0.000
Cl: 0.250 0.750 0.500

Computed properties:
calculated total energy: -0.2128 Ry per atom
mass density: 2.15 Mg/m³
excess energy over the best structure of this formula in the dataset: 349 meV/atom
uncorrected formation energy: -269 meV/atom